Density functional theory data (PBE-GGA) for a relaxed MgCu2Pb crystal.

Lattice parameters (Å, degrees): 4.198 4.198 18.310 90.00 90.00 90.00
Space group I-42d (No. 122)
Unique sites:
Mg  0.000  0.000  0.000
Cu  0.205  0.250  0.125
Pb  0.000  0.000  0.500

## Properties
formation energy	0.3307	eV/atom
calculated volume	20.2	Å³ per atom